Here is a PBEsol-optimized structure of Y2Hg from Alexandria. Energies are from meta-GGA SCAN.

Cell lengths 13.7179, 13.7179, 13.7179 Å; angles 90.00, 90.00, 90.00 degrees
Space group Fd-3m (No. 227, origin choice 2)
Inequivalent atoms, fractional coordinates:
Y 0.0000 0.0000 0.0000 [16 per cell]
Y 0.0606 0.3750 0.8750 [48 per cell]
Hg 0.0318 0.0318 0.2182 [32 per cell]

Values from the calculation:
Mass density: 7.789 g/cm³
Formation enthalpy at 0 K: -577 meV per atom
Spin magnetization: 0.00 μB per cell